[1]
ScTlMo2O8: relaxed, PBEsol.

Geometry as CIF:
```
data_ScTlMo2O8
_cell_length_a 5.8039
_cell_length_b 5.8039
_cell_length_c 7.2848
_cell_angle_alpha 90.00
_cell_angle_beta 90.00
_cell_angle_gamma 120.00
_symmetry_space_group_name_H-M 'P 1'
_symmetry_Int_Tables_number 1
_symmetry_space_group_name_Hall 'P 1'
loop_
_atom_site_label
_atom_site_type_symbol
_atom_site_fract_x
_atom_site_fract_y
_atom_site_fract_z
O1 O 0.3311 0.1655 0.1717
O2 O 0.8345 0.6689 0.1717
O3 O 0.6667 0.3333 0.4850
O4 O 0.3333 0.6667 0.5150
O5 O 0.8345 0.1655 0.1717
O6 O 0.6689 0.8345 0.8283
O7 O 0.1655 0.8345 0.8283
O8 O 0.1655 0.3311 0.8283
Sc1 Sc 0.0000 0.0000 0.0000
Mo1 Mo 0.6667 0.3333 0.2493
Mo2 Mo 0.3333 0.6667 0.7507
Tl1 Tl 0.0000 0.0000 0.5000
```

- Magnetization: 0.0 μB/cell
- SG: P-3m1, No. 164
- Raw formation energy: -2.218 eV per atom
- Density: 4.4 g cm⁻³
- N(E_F): 0.0 states/eV per cell

=====

[2]
ScIrSe2: relaxed, PBEsol.

Geometry as CIF:
```
data_ScIrSe2
_cell_length_a 4.6243
_cell_length_b 4.6243
_cell_length_c 4.6243
_cell_angle_alpha 60.00
_cell_angle_beta 60.00
_cell_angle_gamma 60.00
_symmetry_space_group_name_H-M 'P 1'
_symmetry_Int_Tables_number 1
_symmetry_space_group_name_Hall 'P 1'
loop_
_atom_site_label
_atom_site_type_symbol
_atom_site_fract_x
_atom_site_fract_y
_atom_site_fract_z
Se1 Se 0.0000 0.0000 0.0000
Se2 Se 0.2500 0.2500 0.2500
Ir1 Ir 0.5000 0.5000 0.5000
Sc1 Sc 0.7500 0.7500 0.7500
```

- Magnetization: 0.0 μB/cell
- SG: F-43m, No. 216
- Distance to the lowest polymorph of the same formula: 34.90 kJ/mol of atoms
- Raw formation energy: -0.113 eV per atom
- Density: 9.4 g cm⁻³
- N(E_F): 6.7 states/eV per cell

=====

[3]
ScPbBr2: relaxed, PBEsol.

Geometry as CIF:
```
data_ScPbBr2
_cell_length_a 3.5807
_cell_length_b 3.5807
_cell_length_c 10.3967
_cell_angle_alpha 80.08
_cell_angle_beta 80.08
_cell_angle_gamma 60.00
_symmetry_space_group_name_H-M 'P 1'
_symmetry_Int_Tables_number 1
_symmetry_space_group_name_Hall 'P 1'
loop_
_atom_site_label
_atom_site_type_symbol
_atom_site_fract_x
_atom_site_fract_y
_atom_site_fract_z
Br1 Br 0.9177 0.9177 0.2470
Br2 Br 0.0823 0.0823 0.7530
Sc1 Sc 0.0000 0.0000 0.0000
Pb1 Pb 0.5000 0.5000 0.5000
```

- Magnetization: 0.0 μB/cell
- SG: R-3m, No. 166
- Distance to the lowest polymorph of the same formula: 0.00 kJ/mol of atoms
- Raw formation energy: -0.569 eV per atom
- Density: 6.0 g cm⁻³
- N(E_F): 2.0 states/eV per cell

=====

[4]
LaInPb2: relaxed, PBEsol.

Geometry as CIF:
```
data_LaInPb2
_cell_length_a 3.6135
_cell_length_b 3.6135
_cell_length_c 10.5296
_cell_angle_alpha 80.12
_cell_angle_beta 80.12
_cell_angle_gamma 60.00
_symmetry_space_group_name_H-M 'P 1'
_symmetry_Int_Tables_number 1
_symmetry_space_group_name_Hall 'P 1'
loop_
_atom_site_label
_atom_site_type_symbol
_atom_site_fract_x
_atom_site_fract_y
_atom_site_fract_z
Pb1 Pb 0.2444 0.2444 0.2669
Pb2 Pb 0.7556 0.7556 0.7331
La1 La 0.0000 0.0000 0.0000
In1 In 0.5000 0.5000 0.5000
```

- Magnetization: 0.0 μB/cell
- SG: R-3m, No. 166
- Formation enthalpy at 0 K: -0.1444 eV/atom
- Density: 9.5 g cm⁻³
- N(E_F): 2.4 states/eV per cell

=====

[5]
Li2IrRh: relaxed, PBEsol.

Geometry as CIF:
```
data_Li2IrRh
_cell_length_a 2.6301
_cell_length_b 2.6301
_cell_length_c 8.8199
_cell_angle_alpha 81.43
_cell_angle_beta 81.43
_cell_angle_gamma 60.00
_symmetry_space_group_name_H-M 'P 1'
_symmetry_Int_Tables_number 1
_symmetry_space_group_name_Hall 'P 1'
loop_
_atom_site_label
_atom_site_type_symbol
_atom_site_fract_x
_atom_site_fract_y
_atom_site_fract_z
Ir1 Ir 0.0000 0.0000 0.0000
Li1 Li 0.2495 0.2495 0.2514
Li2 Li 0.7505 0.7505 0.7486
Rh1 Rh 0.5000 0.5000 0.5000
```

- Magnetization: 0.0 μB/cell
- SG: R-3m, No. 166
- Distance to the lowest polymorph of the same formula: 0.67 kJ/mol of atoms
- Formation enthalpy at 0 K: -0.1581 eV/atom
- Density: 9.9 g cm⁻³
- N(E_F): 3.5 states/eV per cell

=====

[6]
TlAsP: relaxed, PBEsol.

Geometry as CIF:
```
data_TlAsP
_cell_length_a 4.6127
_cell_length_b 4.6127
_cell_length_c 4.6127
_cell_angle_alpha 60.00
_cell_angle_beta 60.00
_cell_angle_gamma 60.00
_symmetry_space_group_name_H-M 'P 1'
_symmetry_Int_Tables_number 1
_symmetry_space_group_name_Hall 'P 1'
loop_
_atom_site_label
_atom_site_type_symbol
_atom_site_fract_x
_atom_site_fract_y
_atom_site_fract_z
As1 As 0.5000 0.5000 0.5000
Tl1 Tl 0.0000 0.0000 0.0000
P1 P 0.2500 0.2500 0.2500
```

- Magnetization: 0.0 μB/cell
- SG: F-43m, No. 216
- Distance to the lowest polymorph of the same formula: 43.18 kJ/mol of atoms
- Formation enthalpy at 0 K: 0.5055 eV/atom
- Density: 7.4 g cm⁻³
- N(E_F): 2.0 states/eV per cell

=====

[7]
As2AuCl2: relaxed, PBEsol.

Geometry as CIF:
```
data_As2AuCl2
_cell_length_a 4.9484
_cell_length_b 6.5799
_cell_length_c 6.5799
_cell_angle_alpha 90.00
_cell_angle_beta 90.00
_cell_angle_gamma 90.00
_symmetry_space_group_name_H-M 'P 1'
_symmetry_Int_Tables_number 1
_symmetry_space_group_name_Hall 'P 1'
loop_
_atom_site_label
_atom_site_type_symbol
_atom_site_fract_x
_atom_site_fract_y
_atom_site_fract_z
As1 As 0.0000 0.8608 0.6392
As2 As 0.0000 0.3608 0.8608
As3 As 0.0000 0.1392 0.3608
As4 As 0.0000 0.6392 0.1392
Au1 Au 0.0000 0.5000 0.5000
Au2 Au 0.0000 0.0000 0.0000
Cl1 Cl 0.5000 0.1741 0.3259
Cl2 Cl 0.5000 0.3259 0.8259
Cl3 Cl 0.5000 0.6741 0.1741
Cl4 Cl 0.5000 0.8259 0.6741
```

- Magnetization: 0.0 μB/cell
- SG: P4/mbm, No. 127
- Distance to the lowest polymorph of the same formula: 0.00 kJ/mol of atoms
- Raw formation energy: -0.205 eV per atom
- Density: 6.5 g cm⁻³
- N(E_F): 2.7 states/eV per cell

=====

[8]
K2CrHg: relaxed, PBEsol.

Geometry as CIF:
```
data_K2CrHg
_cell_length_a 5.5364
_cell_length_b 5.5565
_cell_length_c 5.5364
_cell_angle_alpha 60.12
_cell_angle_beta 90.00
_cell_angle_gamma 119.88
_symmetry_space_group_name_H-M 'P 1'
_symmetry_Int_Tables_number 1
_symmetry_space_group_name_Hall 'P 1'
loop_
_atom_site_label
_atom_site_type_symbol
_atom_site_fract_x
_atom_site_fract_y
_atom_site_fract_z
K1 K 0.2500 0.5000 0.2500
K2 K 0.0000 0.0000 0.0000
Hg1 Hg 0.7500 0.5000 0.7500
Cr1 Cr 0.5000 0.0000 0.5000
```

- Magnetization: 5.1 μB/cell
- SG: I-4m2, No. 119
- Formation enthalpy at 0 K: 0.6016 eV/atom
- Density: 4.5 g cm⁻³
- N(E_F): 1.9 states/eV per cell